Entry 1:
## Tl2NiTe (GGA-PBE)

Data for a geometry-optimized Tl2NiTe structure.

extended XYZ file:
```
4
Lattice="-1.3158 6.0959 -1.1314 -4.5093 1.8900 -4.0331 0.8998 -4.0114 4.8240" Properties=species:S:1:pos:R:3 pbc="T T T"
Ni -3.2610 0.9358 -0.8956
Te -1.6643 3.0388 0.5552
Tl -2.9126 3.9930 -2.5822
Tl 0.0000 0.0000 0.0000
```

Values from the calculation:
ΔE_f (raw) in eV/f.u.: 1.24
Calculated volume in Å³/atom: 25.31
Final energy in eV per cell: -12.42
Calculated density in Mg/m³: 9.8
Symmetry: I4/mmm
Energy relative to the lowest polymorph listed for this composition in meV per atom: 392

Entry 2:
## Y3CCl3 (GGA-PBE)

Data for a geometry-optimized Y3CCl3 structure.

extended XYZ file:
```
14
Lattice="3.7214 0.0000 0.0000 0.0000 7.9396 -0.4029 0.0000 0.0132 10.8203" Properties=species:S:1:pos:R:3 pbc="T T T"
Y 2.7910 1.0167 9.0549
Y 2.7910 0.7186 4.1931
Y 0.9303 2.5694 6.6335
Y 0.9303 7.2343 6.2243
Y 2.7910 5.3834 3.7839
Y 0.9303 6.9361 1.3625
Cl 0.9303 6.9576 9.1368
Cl 2.7910 0.9952 1.2807
Cl 2.7910 4.9516 1.0829
Cl 0.9303 3.0134 3.8752
Cl 0.9303 3.0012 9.3345
Cl 2.7910 4.9394 6.5422
C 0.9303 6.9366 3.7253
C 2.7910 1.0162 6.6921
```

Values from the calculation:
ΔE_f (raw) in eV/f.u.: -10.81
Calculated volume in Å³/atom: 22.84
Final energy in eV per cell: -89.93
Calculated density in Mg/m³: 4.0
Symmetry: P2_1/m

Entry 3:
## CdFeW2 (GGA-PBE)

Data for a geometry-optimized CdFeW2 structure.

extended XYZ file:
```
4
Lattice="-3.2234 -4.0167 0.3057 4.6797 -0.9659 -1.9454 0.9098 -0.5430 2.4581" Properties=species:S:1:pos:R:3 pbc="T T T"
Fe 2.7948 -0.7545 0.2563
W 0.7282 -2.4913 -0.8199
W 0.0000 0.0000 0.0000
Cd -1.1568 -2.2799 1.3819
```

Values from the calculation:
Calculated volume in Å³/atom: 15.97
Calculated formation energy in eV/atom: 0.594
Final energy in eV per cell: -32.91
Calculated density in Mg/m³: 13.9
Symmetry: Cmmm